A plane-wave DFT calculation with PBE-GGA was carried out for PmTm3Al8 after structural relaxation.

Structure (POSCAR):
```
PmTm3Al8
1.0
-1.266 4.974 2.087
-1.712 0.448 5.251
7.628 2.859 5.166
Pm Tm Al
1 3 8
direct
0.875 0.875 0.375 Pm
0.376 0.376 0.873 Tm
0.000 0.000 0.999 Tm
0.499 0.499 0.502 Tm
0.939 0.438 0.184 Al
0.436 0.937 0.690 Al
0.438 0.438 0.184 Al
0.937 0.937 0.690 Al
0.187 0.187 0.439 Al
0.688 0.688 0.937 Al
0.438 0.939 0.184 Al
0.937 0.436 0.690 Al
```

D(E_F) in states/eV/atom: 0.815
Formation energy in eV per atom: -0.4988
Offset from the most stable computed form in meV/atom: 0